DFT (PBE) results for crystalline TcSbBr at its relaxed geometry.

Unit cell a=4.673 b=4.673 c=3.274 alpha=90.00 beta=90.00 gamma=120.00
Sites, in units of the cell vectors:
Tc  0.000  0.000  0.000
Sb  0.333  0.667  0.708
Br  0.667  0.333  0.139

## Properties
Total energy in eV per atom: -4.784

DFT (PBE) results for crystalline TcSb2Br at its relaxed geometry.

Unit cell a=5.212 b=5.212 c=5.212 alpha=127.95 beta=127.95 gamma=76.70
Sites, in units of the cell vectors:
Tc  0.000  0.000  0.000
Sb  0.250  0.750  0.500
Sb  0.750  0.250  0.500
Br  0.500  0.500  0.000

## Properties
Total energy in eV per atom: -4.442

DFT (PBE) results for crystalline TcSb2Br at its relaxed geometry.

Unit cell a=7.506 b=7.506 c=7.506 alpha=154.21 beta=146.35 gamma=42.88
Sites, in units of the cell vectors:
Tc  0.000  0.000  0.000
Sb  0.515  0.515  0.000
Sb  0.846  0.346  0.500
Br  0.195  0.695  0.500

## Properties
Total energy in eV per atom: -4.869

DFT (PBE) results for crystalline Tc3SbBr at its relaxed geometry.

Unit cell a=5.082 b=5.082 c=5.082 alpha=90.00 beta=90.00 gamma=90.00
Sites, in units of the cell vectors:
Tc  0.000  0.000  0.500
Tc  0.000  0.500  0.000
Tc  0.500  0.000  0.000
Sb  0.000  0.000  0.000
Br  0.500  0.500  0.500

## Properties
Total energy in eV per atom: -5.439